1.
Density functional theory data (PBE) for KSc after structural relaxation.

ΔH_f (0 K)	1.05	eV per formula unit
final energy	-3.19	eV/atom
V	41.7	Å³ per atom

The structure in POSCAR format:
```
KSc
1.0
16.036 0.000 0.000
0.000 3.478 0.000
-2.285 0.000 8.968
K Sc
6 6
Direct
0.000 0.000 0.000
0.056 0.000 0.537
0.321 0.000 0.636
0.500 0.500 0.000
0.556 0.500 0.537
0.821 0.500 0.636
0.196 0.500 0.266
0.231 0.500 0.965
0.345 0.000 0.218
0.696 0.000 0.266
0.731 0.000 0.965
0.845 0.500 0.218
```

***

2.
Density functional theory data (PBE) for KSc5 after structural relaxation.

ΔH_f (0 K)	2.64	eV per formula unit
final energy	-5.02	eV/atom
V	27.8	Å³ per atom
energy above the most stable polymorph in this dataset	0.203	eV/atom

The structure in POSCAR format:
```
KSc5
1.0
4.902 0.000 0.000
0.000 14.059 0.000
0.000 0.000 4.840
K Sc
2 10
Direct
0.000 0.000 0.000
0.500 0.500 0.000
0.000 0.182 0.500
0.000 0.323 0.000
0.000 0.500 0.500
0.000 0.677 0.000
0.000 0.818 0.500
0.500 0.000 0.500
0.500 0.177 0.000
0.500 0.318 0.500
0.500 0.682 0.500
0.500 0.823 0.000
```

***

3.
Density functional theory data (PBE) for K2Sc after structural relaxation.

ΔH_f (0 K)	2.05	eV per formula unit
final energy	-2.16	eV/atom
V	46.7	Å³ per atom
energy above the most stable polymorph in this dataset	0.213	eV/atom

The structure in POSCAR format:
```
K2Sc
1.0
3.452 0.000 0.000
0.000 7.018 0.000
0.000 0.000 11.568
K Sc
4 2
Direct
0.000 0.000 0.173
0.000 0.000 0.827
0.500 0.500 0.327
0.500 0.500 0.673
0.000 0.500 0.000
0.500 0.000 0.500
```

***

4.
Density functional theory data (PBE) for K3Sc after structural relaxation.

ΔH_f (0 K)	2.14	eV per formula unit
final energy	-1.87	eV/atom
V	50.7	Å³ per atom
energy above the most stable polymorph in this dataset	0.072	eV/atom

The structure in POSCAR format:
```
K3Sc
1.0
8.272 0.000 0.000
0.000 13.179 0.000
0.000 0.000 3.718
K Sc
6 2
Direct
0.000 0.000 0.000
0.250 0.250 0.500
0.250 0.750 0.500
0.500 0.500 0.000
0.750 0.250 0.500
0.750 0.750 0.500
0.000 0.500 0.000
0.500 0.000 0.000
```

***

5.
Density functional theory data (PBE) for K3Sc5 after structural relaxation.

ΔH_f (0 K)	6.46	eV per formula unit
final energy	-3.56	eV/atom
V	42.1	Å³ per atom

The structure in POSCAR format:
```
K3Sc5
1.0
11.966 0.000 0.000
-5.983 10.363 0.000
0.000 0.000 5.428
K Sc
6 10
Direct
0.000 0.378 0.250
0.000 0.622 0.750
0.378 0.000 0.250
0.378 0.378 0.750
0.622 0.000 0.750
0.622 0.622 0.250
0.000 0.149 0.750
0.000 0.851 0.250
0.149 0.000 0.750
0.149 0.149 0.250
0.333 0.667 0.000
0.333 0.667 0.500
0.667 0.333 0.000
0.667 0.333 0.500
0.851 0.000 0.250
0.851 0.851 0.750
```

***

6.
Density functional theory data (PBE) for KSc after structural relaxation.

ΔH_f (0 K)	1.40	eV per formula unit
final energy	-3.01	eV/atom
V	38.2	Å³ per atom

The structure in POSCAR format:
```
KSc
1.0
12.714 0.000 0.000
-6.357 11.010 0.000
0.000 0.000 3.278
K Sc
6 6
Direct
0.050 0.297 0.250
0.247 0.950 0.250
0.297 0.247 0.750
0.703 0.753 0.250
0.753 0.050 0.750
0.950 0.703 0.750
0.169 0.606 0.250
0.394 0.563 0.250
0.437 0.831 0.250
0.563 0.169 0.750
0.606 0.437 0.750
0.831 0.394 0.750
```